Entry from the Alexandria database: a relaxed SmGdRu crystal (PBE-GGA).

Unit cell a=6.8478 b=6.8478 c=6.8478 alpha=90.00 beta=90.00 gamma=90.00
With the nearest neighbours (Å) after each atom.
Sites, in units of the cell vectors:
Sm 0.0000 0.0000 0.0000  4 Ru 2.97
Sm 0.0000 0.5000 0.5000  4 Ru 2.97
Sm 0.5000 0.0000 0.5000  4 Ru 2.97
Sm 0.5000 0.5000 0.0000  4 Ru 2.97
Gd 0.0000 0.0000 0.5000  4 Ru 2.97
Gd 0.0000 0.5000 0.0000  4 Ru 2.97
Gd 0.5000 0.0000 0.0000  4 Ru 2.97
Gd 0.5000 0.5000 0.5000  4 Ru 2.97
Ru 0.2500 0.2500 0.7500  4 Gd 2.97, 4 Sm 2.97
Ru 0.2500 0.7500 0.2500  4 Gd 2.97, 4 Sm 2.97
Ru 0.7500 0.2500 0.2500  4 Gd 2.97, 4 Sm 2.97
Ru 0.7500 0.7500 0.7500  4 Gd 2.97, 4 Sm 2.97

Properties
* E_form: -218 meV/atom
* polymorph energy (0 for the lowest one): 0.032 eV per atom